1.
A relaxed KSi2Mo crystal. Source: Alexandria via LeMat-Bulk, functional GGA-PBE.

It has space group P4/mmm (No. 123), with a = 3.260 Å, b = 3.260 Å, c = 7.568 Å, α = 90.00°, β = 90.00° and γ = 90.00°. The asymmetric unit holds K at (0.000, 0.000, 0.000), Si at (0.500, 0.500, 0.337) and Mo at (0.000, 0.000, 0.500).

Its offset from the most stable computed form is 0.0 kJ/mol of atoms. The calculation puts the formation energy from raw total energies at 77 meV per atom. As for the total DFT energy (no corrections): -22.46 eV for the cell shown.

=====

2.
A relaxed LaPr2Au4 crystal. Source: Alexandria via LeMat-Bulk, functional GGA-PBE.

It has space group I4/mmm (No. 139), with a = 5.406 Å, b = 5.406 Å, c = 13.438 Å, α = 90.00°, β = 90.00° and γ = 90.00°. The asymmetric unit holds La at (0.000, 0.000, 0.000), Pr at (0.000, 0.000, 0.278) and Au at (0.000, 0.500, 0.122).

The formation energy is -637 meV/atom. As for the total DFT energy (no corrections): -64.11 eV for the cell shown.

=====

3.
A relaxed CaSmDy2 crystal. Source: Alexandria via LeMat-Bulk, functional GGA-PBE.

It has space group Fm-3m (No. 225), with a = 8.156 Å, b = 8.156 Å, c = 8.156 Å, α = 90.00°, β = 90.00° and γ = 90.00°. The asymmetric unit holds Ca at (0.000, 0.000, 0.000), Sm at (0.000, 0.000, 0.500) and Dy at (0.250, 0.250, 0.250).

Its offset from the most stable computed form is 11.0 kJ/mol of atoms. The formation energy is 175 meV/atom. As for the total DFT energy (no corrections): -60.90 eV for the cell shown.

=====

4.
A relaxed BeMoOs2 crystal. Source: Alexandria via LeMat-Bulk, functional GGA-PBE.

It has space group R-3m (No. 166, hexagonal axes), with a = 2.7533 Å, b = 2.7533 Å, c = 24.6978 Å, α = 90.00°, β = 90.00° and γ = 120.00°. The asymmetric unit holds Be at (0.0000, 0.0000, 0.0000), Mo at (0.0000, 0.0000, 0.5000) and Os at (0.0000, 0.0000, 0.2571).

The formation energy is 96 meV/atom. As for the total DFT energy (no corrections): -109.90 eV for the cell shown.

=====

5.
A relaxed BaReSb2 crystal. Source: Alexandria via LeMat-Bulk, functional GGA-PBE.

It has space group P4mm (No. 99), with a = 3.638 Å, b = 3.638 Å, c = 8.042 Å, α = 90.00°, β = 90.00° and γ = 90.00°. The asymmetric unit holds Ba at (0.000, 0.000, 0.000), Re at (0.500, 0.500, 0.319), Sb at (0.000, 0.000, 0.439) and Sb at (0.500, 0.500, 0.678).

Its offset from the most stable computed form is 34.1 kJ/mol of atoms. The calculation puts the formation energy from raw total energies at 293 meV per atom. As for the total DFT energy (no corrections): -21.44 eV for the cell shown.

=====

Which value of total DFT energy (no corrections) does entry 3 give?
-60.90 eV for the cell shown

=====

Please write out number 1 again, unchanged.
A relaxed KSi2Mo crystal. Source: Alexandria via LeMat-Bulk, functional GGA-PBE.

It has space group P4/mmm (No. 123), with a = 3.260 Å, b = 3.260 Å, c = 7.568 Å, α = 90.00°, β = 90.00° and γ = 90.00°. The asymmetric unit holds K at (0.000, 0.000, 0.000), Si at (0.500, 0.500, 0.337) and Mo at (0.000, 0.000, 0.500).

Its offset from the most stable computed form is 0.0 kJ/mol of atoms. The calculation puts the formation energy from raw total energies at 77 meV per atom. As for the total DFT energy (no corrections): -22.46 eV for the cell shown.